Entry 1:
An optimized crystal structure of Te6IrRh. Source: Alexandria, functional PBE.

a = 8.377 Å, b = 8.377 Å, c = 9.681 Å
α = 125.18°, β = 125.18°, γ = 70.48°
Positions (direct):
Te1 0.154 0.845 0.173
Te2 0.155 0.846 0.827
Te3 0.172 0.517 0.345
Te4 0.324 0.324 0.669
Te5 0.331 0.331 0.986
Te6 0.483 0.828 0.655
Te7 0.517 0.172 0.345
Te8 0.669 0.669 0.014
Te9 0.676 0.676 0.331
Te10 0.828 0.483 0.655
Te11 0.845 0.154 0.173
Te12 0.846 0.155 0.827
Ir1 0.000 0.500 0.000
Ir2 0.500 0.000 0.000
Rh1 0.000 0.500 0.500
Rh2 0.500 0.000 0.500

DOS(E_F), states/eV per cell: 9.85
Space group: C2/m (12)
Uncorrected formation energy, eV per atom: -0.12



Entry 2:
An optimized crystal structure of Pr8SmCd2. Source: Alexandria, functional PBE.

a = 9.047 Å, b = 9.047 Å, c = 8.589 Å
α = 113.01°, β = 113.01°, γ = 35.19°
Positions (direct):
Pr1 0.052 0.052 0.239
Pr2 0.150 0.150 0.707
Pr3 0.312 0.312 0.544
Pr4 0.397 0.397 0.032
Pr5 0.603 0.603 0.968
Pr6 0.688 0.688 0.456
Pr7 0.850 0.850 0.293
Pr8 0.948 0.948 0.761
Sm1 0.500 0.500 0.500
Cd1 0.221 0.221 0.131
Cd2 0.779 0.779 0.869

DOS(E_F), states/eV per cell: 15.39
Space group: C2/m (12)
Total DFT energy (no corrections), eV/cell: -45.6



Entry 3:
An optimized crystal structure of HgIrO2F. Source: Alexandria, functional PBE.

a = 4.285 Å, b = 4.285 Å, c = 4.261 Å
α = 90.00°, β = 90.00°, γ = 90.00°
Positions (direct):
Hg1 0.000 0.000 0.000
Ir1 0.500 0.500 0.500
O1 0.000 0.500 0.000
O2 0.500 0.000 0.000
F1 0.000 0.000 0.500

DOS(E_F), states/eV per cell: 3.92
Space group: P4/mmm (123)
Uncorrected formation energy, eV per atom: 0.95